1.
First-principles (PBE-GGA) data for crystalline LiCrAs2Pd at its relaxed geometry, as listed in the Alexandria database.

Structure (POSCAR):
```
LiCrAs2Pd
1.0
-4.370 -2.119 -0.676
1.462 -1.676 -4.198
1.634 -4.070 2.194
Pd Cr Li As
1 1 1 2
direct
0.000 0.000 0.000
0.000 0.500 0.000
0.500 0.500 0.500
0.500 0.000 0.000
0.000 0.000 0.500
```

Output
crystal system = tetragonal
E_tot = -4.32 eV per atom
formation energy from the elements = 86 kJ per mole of atoms
theoretical density = 4.6 g cm⁻³
V = 114 Å³/cell

2.
First-principles (PBE-GGA) data for crystalline LiCrAs2Se at its relaxed geometry, as listed in the Alexandria database.

Structure (POSCAR):
```
LiCrAs2Se
1.0
-2.414 3.879 -0.625
0.690 -0.408 -5.194
-3.882 -2.468 -0.322
As Li Se Cr
2 1 1 1
direct
0.500 0.000 0.000
0.000 0.000 0.500
0.500 0.500 0.500
0.000 0.500 0.000
0.000 0.000 0.000
```

Output
crystal system = tetragonal
ΔE to the lowest computed polymorph = 0.000 eV per atom
E_tot = -4.81 eV per atom
uncorrected formation energy = 0.06 eV/atom
theoretical density = 4.3 g cm⁻³
V = 112 Å³/cell

3.
First-principles (PBE-GGA) data for crystalline Li2CrSiAs at its relaxed geometry, as listed in the Alexandria database.

Structure (POSCAR):
```
Li2CrSiAs
1.0
-2.374 2.797 2.420
-3.684 -3.367 0.277
1.785 -1.652 3.661
Cr Li Si As
1 2 1 1
direct
0.500 0.500 0.500
0.000 0.000 0.500
0.500 0.000 0.000
0.000 0.500 0.000
0.000 0.000 0.000
```

Output
crystal system = tetragonal
E_tot = -3.79 eV per atom
uncorrected formation energy = 0.91 eV/atom
theoretical density = 2.9 g cm⁻³
V = 97 Å³/cell

4.
First-principles (PBE-GGA) data for crystalline LiCr2TcAs at its relaxed geometry, as listed in the Alexandria database.

Structure (POSCAR):
```
LiCr2TcAs
1.0
4.426 0.000 0.000
0.000 4.598 0.000
0.000 0.000 4.426
Cr Tc As Li
2 1 1 1
direct
0.000 0.000 0.500
0.500 0.000 0.000
0.000 0.500 0.000
0.000 0.000 0.000
0.500 0.500 0.500
```

Output
crystal system = tetragonal
E_tot = -6.07 eV per atom
formation energy from the elements = 113 kJ per mole of atoms
theoretical density = 5.2 g cm⁻³
V = 90 Å³/cell